A plane-wave DFT calculation with PBEsol was carried out for MnTcPt2 after structural relaxation.

```
MnTcPt2
1.0
2.7338 0.0000 0.0000
0.0000 4.6460 -0.0012
-1.3669 -0.7936 4.4277
Tc Pt Mn
1 2 1
direct
0.0000 0.5000 0.0000
0.2499 0.2513 0.4998
0.7501 0.7487 0.5002
0.5000 0.0000 0.0000
```

Values from the calculation:
Spin magnetization = 2.888 μB/cell
Crystal system = monoclinic
V = 56 Å³ per cell
Symmetry = C2/m, No. 12
Offset from the most stable computed form = 0.057 eV per atom
E_form = -0.071 eV/atom

***

A plane-wave DFT calculation with PBEsol was carried out for MnTePt after structural relaxation.

```
MnTePt
1.0
-0.1885 -0.3709 3.5644
-3.5287 -0.6032 -0.2500
2.5640 -3.4967 -2.0322
Te Mn Pt
1 1 1
direct
0.3347 0.3347 0.6695
0.0038 0.0038 0.0075
0.6615 0.6615 0.3230
```

Values from the calculation:
E_form (uncorrected) = 0.0786 eV/atom
Spin magnetization = 3.686 μB/cell
Crystal system = tetragonal
V = 52 Å³ per cell
Symmetry = I4mm, No. 107
Offset from the most stable computed form = 0.025 eV per atom

***

A plane-wave DFT calculation with PBEsol was carried out for MnTePt after structural relaxation.

```
MnTePt
1.0
3.8450 0.0000 0.0000
-1.9225 3.3298 0.0000
0.0000 0.0000 4.4426
Te Pt Mn
1 1 1
direct
0.3333 0.6667 0.3330
0.6667 0.3333 0.6987
0.0000 0.0000 0.9683
```

Values from the calculation:
E_form (uncorrected) = 0.0551 eV/atom
Spin magnetization = 3.347 μB/cell
Crystal system = trigonal
V = 57 Å³ per cell
Symmetry = P3m1, No. 156
Offset from the most stable computed form = 0.001 eV per atom

***

A plane-wave DFT calculation with PBEsol was carried out for MnTePt after structural relaxation.

```
MnTePt
1.0
4.2991 0.0000 0.0000
2.1495 3.7231 0.0000
2.1495 1.2410 3.5102
Te Mn Pt
1 1 1
direct
0.5000 0.5000 0.5000
0.2500 0.2500 0.2500
0.0000 0.0000 0.0000
```

Values from the calculation:
E_form (uncorrected) = 0.0539 eV/atom
Spin magnetization = 3.392 μB/cell
Crystal system = cubic
V = 56 Å³ per cell
Symmetry = F-43m, No. 216
Offset from the most stable computed form = 0.000 eV per atom

***

A plane-wave DFT calculation with PBEsol was carried out for Mn3TePt after structural relaxation.

```
Mn3TePt
1.0
-0.2490 1.0483 4.5880
-4.4992 -1.4006 0.0758
1.3804 -4.3761 1.0748
Mn Te Pt
3 1 1
direct
0.5000 0.0000 0.0000
0.0000 0.5000 0.0000
0.0000 0.0000 0.5000
0.0000 0.0000 0.0000
0.5000 0.5000 0.5000
```

Values from the calculation:
E_form (uncorrected) = 1.3658 eV/atom
Spin magnetization = 10.964 μB/cell
Crystal system = cubic
V = 105 Å³ per cell
Symmetry = Pm-3m, No. 221

***

A plane-wave DFT calculation with PBEsol was carried out for MnTePt3 after structural relaxation.

```
MnTePt3
1.0
-3.3523 2.0452 -2.4164
-2.5140 0.4191 3.8424
1.9239 4.1111 0.8104
Pt Mn Te
3 1 1
direct
0.0000 0.5000 0.0000
0.0000 0.0000 0.5000
0.5000 0.0000 0.0000
0.0000 0.0000 0.0000
0.5000 0.5000 0.5000
```

Values from the calculation:
E_form (uncorrected) = 0.9094 eV/atom
Spin magnetization = 4.251 μB/cell
Crystal system = cubic
V = 98 Å³ per cell
Symmetry = Pm-3m, No. 221

***

A plane-wave DFT calculation with PBEsol was carried out for Ti2MnPt2 after structural relaxation.

```
Ti2MnPt2
1.0
-3.6495 0.7334 0.0625
-0.6088 -2.8295 -2.3418
1.4441 -2.7689 5.9295
Pt Mn Ti
2 1 2
direct
0.2500 0.7500 0.5000
0.7500 0.2500 0.5000
0.0000 0.0000 0.0000
0.3954 0.3954 0.7908
0.6046 0.6046 0.2092
```

Values from the calculation:
Spin magnetization = 2.194 μB/cell
Crystal system = tetragonal
V = 85 Å³ per cell
Symmetry = I4/mmm, No. 139
E_form = -0.062 eV/atom

***

A plane-wave DFT calculation with PBEsol was carried out for MnTl2Pt after structural relaxation.

```
MnTl2Pt
1.0
-1.2940 -1.6287 2.5337
-2.4786 -0.9911 -1.9029
3.9692 -6.1852 -1.9488
Mn Tl Pt
1 2 1
direct
0.0000 0.0000 0.5458
0.5000 0.5000 0.2939
0.0000 0.0000 0.9573
0.5000 0.5000 0.7031
```

Values from the calculation:
Spin magnetization = 4.298 μB/cell
Crystal system = tetragonal
V = 82 Å³ per cell
Symmetry = P4mm, No. 99
Offset from the most stable computed form = 0.000 eV per atom
E_form = 0.137 eV/atom

***

A plane-wave DFT calculation with PBEsol was carried out for MnTl2Pt after structural relaxation.

```
MnTl2Pt
1.0
-2.6342 -3.7476 -1.1590
0.6481 -4.1208 2.2195
-3.2746 -1.6061 3.0040
Pt Mn Tl
1 1 2
direct
0.5000 0.5000 0.5000
0.0000 0.0000 0.0000
0.2500 0.2500 0.2500
0.7500 0.7500 0.7500
```

Values from the calculation:
Spin magnetization = 3.903 μB/cell
Crystal system = cubic
V = 75 Å³ per cell
Symmetry = Fm-3m, No. 225
Offset from the most stable computed form = 0.171 eV per atom
E_form = 0.308 eV/atom

***

A plane-wave DFT calculation with PBEsol was carried out for MnTlPt after structural relaxation.

```
MnTlPt
1.0
4.4161 0.0000 0.0000
2.2081 3.8245 0.0000
2.2081 1.2748 3.6057
Pt Tl Mn
1 1 1
direct
0.2500 0.2500 0.2500
0.0000 0.0000 0.0000
0.5000 0.5000 0.5000
```

Values from the calculation:
Spin magnetization = 4.155 μB/cell
Crystal system = cubic
V = 61 Å³ per cell
Symmetry = F-43m, No. 216
Offset from the most stable computed form = 0.082 eV per atom
E_form = 0.204 eV/atom

***

A plane-wave DFT calculation with PBEsol was carried out for MnTl2Pt after structural relaxation.

```
MnTl2Pt
1.0
3.2685 0.0000 -0.0056
0.0000 4.6234 0.0000
-0.1779 0.0000 5.1753
Mn Tl Pt
1 2 1
direct
0.5000 0.5000 0.0000
0.2402 0.0000 0.2499
0.7598 0.0000 0.7501
0.0000 0.5000 0.5000
```

Values from the calculation:
Spin magnetization = 3.894 μB/cell
Crystal system = monoclinic
V = 78 Å³ per cell
Symmetry = P2/m, No. 10
Offset from the most stable computed form = 0.233 eV per atom
E_form = 0.370 eV/atom

***

A plane-wave DFT calculation with PBEsol was carried out for MnTlPt after structural relaxation.

```
MnTlPt
1.0
-1.1890 0.3157 3.2073
-0.3626 -3.4101 0.2012
4.8742 1.2030 -0.1511
Mn Pt Tl
1 1 1
direct
0.9856 0.9856 0.9712
0.3467 0.3467 0.6933
0.6677 0.6677 0.3355
```

Values from the calculation:
Spin magnetization = 4.337 μB/cell
Crystal system = tetragonal
V = 52 Å³ per cell
Symmetry = I4mm, No. 107
Offset from the most stable computed form = 0.000 eV per atom
E_form = 0.122 eV/atom

***

A plane-wave DFT calculation with PBEsol was carried out for MnPtW2 after structural relaxation.

```
MnPtW2
1.0
-2.5058 0.7584 2.7655
-1.3443 -3.5547 -0.2432
4.5363 0.2268 1.4260
W Pt Mn
2 1 1
direct
0.2500 0.7500 0.5000
0.7500 0.2500 0.5000
0.0000 0.0000 0.0000
0.5000 0.5000 0.0000
```

Values from the calculation:
Spin magnetization = 1.118 μB/cell
Crystal system = tetragonal
V = 57 Å³ per cell
Symmetry = I4/mmm, No. 139
Offset from the most stable computed form = 0.006 eV per atom
E_form = -0.046 eV/atom

***

A plane-wave DFT calculation with PBEsol was carried out for Mn2PtW after structural relaxation.

```
Mn2PtW
1.0
-0.4336 1.2589 -4.0343
-0.9313 -2.8369 -3.0221
-3.8392 0.0170 -1.8189
Mn Pt W
2 1 1
direct
0.7500 0.7500 0.7500
0.2500 0.2500 0.2500
0.0000 0.0000 0.0000
0.5000 0.5000 0.5000
```

Values from the calculation:
Spin magnetization = 5.328 μB/cell
Crystal system = cubic
V = 54 Å³ per cell
Symmetry = Fm-3m, No. 225
Offset from the most stable computed form = 0.065 eV per atom
E_form = 0.004 eV/atom

***

A plane-wave DFT calculation with PBEsol was carried out for MnPtW after structural relaxation.

```
MnPtW
1.0
-0.2629 -2.6476 0.0545
3.7902 -0.3362 1.9459
-3.5657 0.4019 2.3215
Mn Pt W
1 1 1
direct
0.0864 0.0000 0.0000
0.6809 0.3333 0.6667
0.2326 0.6667 0.3333
```

Values from the calculation:
Spin magnetization = 1.719 μB/cell
Crystal system = trigonal
V = 42 Å³ per cell
Symmetry = P3m1, No. 156
Offset from the most stable computed form = 0.144 eV per atom
E_form = 0.081 eV/atom

***

A plane-wave DFT calculation with PBEsol was carried out for MnPtW2 after structural relaxation.

```
MnPtW2
1.0
-2.4854 0.4999 1.9227
0.9273 -2.4315 1.8308
3.1861 3.6095 3.1800
W Mn Pt
2 1 1
direct
0.5000 0.5000 0.2660
0.0000 0.0000 0.0021
0.0000 0.0000 0.4919
0.5000 0.5000 0.7400
```

Values from the calculation:
Spin magnetization = 2.317 μB/cell
Crystal system = tetragonal
V = 58 Å³ per cell
Symmetry = P4mm, No. 99
Offset from the most stable computed form = 0.120 eV per atom
E_form = 0.068 eV/atom

***

A plane-wave DFT calculation with PBEsol was carried out for Mn2PtW after structural relaxation.

```
Mn2PtW
1.0
-1.1450 3.2203 1.4206
-3.2633 -1.5310 0.8404
3.5627 -1.8671 2.2823
Mn Pt W
2 1 1
direct
0.7500 0.2500 0.5000
0.0000 0.0000 0.0000
0.5000 0.5000 0.0000
0.2500 0.7500 0.5000
```

Values from the calculation:
Spin magnetization = 0.225 μB/cell
Crystal system = tetragonal
V = 52 Å³ per cell
Symmetry = I-4m2, No. 119
Offset from the most stable computed form = 0.000 eV per atom
E_form = -0.061 eV/atom

***

A plane-wave DFT calculation with PBEsol was carried out for MnPt3W after structural relaxation.

```
MnPt3W
1.0
-0.0254 1.9194 4.0205
0.8385 -3.9466 1.8894
4.3755 0.7675 -0.3388
W Mn Pt
1 1 3
direct
0.5000 0.5000 0.5000
0.0000 0.0000 0.0000
0.0000 0.5000 0.0000
0.5000 0.0000 0.0000
0.0000 0.0000 0.5000
```

Values from the calculation:
Spin magnetization = 5.020 μB/cell
Crystal system = cubic
V = 88 Å³ per cell
Symmetry = Pm-3m, No. 221
E_form = 1.539 eV/atom

***

A plane-wave DFT calculation with PBEsol was carried out for MnPtW2 after structural relaxation.

```
MnPtW2
1.0
-0.0745 -2.6707 -0.0103
4.0289 -0.1192 1.7803
-1.9610 0.3679 4.4626
Mn W Pt
1 2 1
direct
0.3895 0.0000 0.4647
0.9424 0.0000 0.9739
0.7933 0.5000 0.2877
0.3748 0.5000 0.7738
```

Values from the calculation:
Spin magnetization = 1.773 μB/cell
Crystal system = monoclinic
V = 57 Å³ per cell
Symmetry = Pm, No. 6
Offset from the most stable computed form = 0.086 eV per atom
E_form = 0.034 eV/atom

***

A plane-wave DFT calculation with PBEsol was carried out for MnPtW after structural relaxation.

```
MnPtW
1.0
2.6850 0.0000 0.0000
0.0000 3.7752 0.0000
-1.3425 -1.8876 4.1445
Mn W Pt
1 1 1
direct
0.9974 0.9974 0.9949
0.3389 0.3389 0.6779
0.6636 0.6636 0.3273
```

Values from the calculation:
Spin magnetization = 2.078 μB/cell
Crystal system = orthorhombic
V = 42 Å³ per cell
Symmetry = Imm2, No. 44
Offset from the most stable computed form = 0.000 eV per atom
E_form = -0.063 eV/atom